Material: MoRhOF2
Method: DFT, PBE+U
State: optimized geometry

The space group is P4/mmm (No. 123) and the conventional cell measures 4.1906, 4.1906 and 4.2022 Å, with angles of 90.00, 90.00 and 90.00 degrees. The distinct sites, in fractional coordinates, are Mo at (0.0000, 0.0000, 0.0000), Rh at (0.5000, 0.5000, 0.5000), O at (0.0000, 0.0000, 0.5000) and F at (0.0000, 0.5000, 0.0000).

The calculation puts the density at 5.69 g cm⁻³. The crystal system is tetragonal. The offset from the most stable computed form comes out at 0.00 eV per formula unit.